No. 1
VASP calculation (PBE-GGA) on a geometry-optimized Dy5TmCu6 structure.

abc: 7.768 7.768 6.862
angles: 90.00 90.00 143.15
Fractional coordinates of all 12 atoms:
Dy 0.000 0.000 0.000
Dy 0.333 0.667 0.000
Dy 0.334 0.666 0.500
Dy 0.666 0.334 0.500
Dy 0.667 0.333 0.000
Tm 0.000 0.000 0.500
Cu 0.165 0.835 0.251
Cu 0.165 0.835 0.749
Cu 0.500 0.500 0.254
Cu 0.500 0.500 0.746
Cu 0.835 0.165 0.251
Cu 0.835 0.165 0.749

Summary:
* formation energy: -0.262 eV/atom
* D(E_F): 5.24 states/eV/cell



No. 2
VASP calculation (PBE-GGA) on a geometry-optimized RbUInI6 structure.

abc: 8.557 8.557 15.137
angles: 90.00 90.00 120.00
Fractional coordinates of all 18 atoms:
Rb 0.000 0.000 0.000
Rb 0.000 0.000 0.500
U 0.333 0.667 0.250
U 0.667 0.333 0.750
In 0.333 0.667 0.750
In 0.667 0.333 0.250
I 0.037 0.385 0.135
I 0.037 0.651 0.365
I 0.349 0.385 0.365
I 0.349 0.963 0.135
I 0.385 0.037 0.635
I 0.385 0.349 0.865
I 0.615 0.651 0.135
I 0.615 0.963 0.365
I 0.651 0.037 0.865
I 0.651 0.615 0.635
I 0.963 0.349 0.635
I 0.963 0.615 0.865

Summary:
* D(E_F): 21.46 states/eV/cell
* E_form (uncorrected): -0.9102 eV/atom



No. 3
VASP calculation (PBE-GGA) on a geometry-optimized LiSnBi2 structure.

abc: 5.259 5.259 4.132
angles: 90.00 90.00 102.31
Fractional coordinates of all 4 atoms:
Li 0.000 0.000 0.000
Sn 0.500 0.500 0.000
Bi 0.000 0.500 0.500
Bi 0.500 0.000 0.500

Summary:
* formation energy: -0.115 eV/atom
* D(E_F): 1.84 states/eV/cell



No. 4
VASP calculation (PBE-GGA) on a geometry-optimized ThCdGa2 structure.

abc: 5.811 5.811 5.811
angles: 45.60 45.60 45.60
Fractional coordinates of all 4 atoms:
Th 0.000 0.000 0.000
Cd 0.500 0.500 0.500
Ga 0.226 0.226 0.226
Ga 0.774 0.774 0.774

Summary:
* formation energy: -0.300 eV/atom
* D(E_F): 1.51 states/eV/cell
* energy above the most stable polymorph in this dataset: 52.0 meV/atom